No. 1
ZrIn2Mo: optimized geometry, GGA-PBE.

```
4
Lattice="-2.581 -5.036 8.320 -1.087 -7.312 6.826 0.506 -5.279 8.551" Properties=species:S:1:pos:R:3 pbc="T T T"
In -3.146 -17.540 23.580
In -1.597 -8.902 11.967
Mo -0.791 -4.407 5.924
Zr -2.372 -13.221 17.773
```


No. 2
NaTiTlSe3: optimized geometry, GGA-PBE.

```
12
Lattice="-3.556 -2.929 4.923 2.015 -6.950 -0.236 6.297 -2.099 4.521" Properties=species:S:1:pos:R:3 pbc="T T T"
Na 5.510 -6.542 4.840
Na -0.755 -5.437 4.368
Ti 3.100 -4.434 7.750
Ti 1.655 -7.545 1.459
Tl 2.950 -3.471 3.596
Tl 1.806 -8.508 5.612
Se 5.585 -9.065 6.394
Se 2.730 -6.727 8.956
Se 1.348 -4.889 6.213
Se -0.830 -2.913 2.814
Se 2.026 -5.252 0.252
Se 3.407 -7.089 2.995
```

## Properties
**E_form (uncorrected)**: -0.933 eV per atom


No. 3
Rb2BCl5: optimized geometry, GGA-PBE.

```
8
Lattice="-4.417 6.352 3.328 -1.530 -0.922 8.231 6.876 -0.515 -4.813" Properties=species:S:1:pos:R:3 pbc="T T T"
Rb 0.987 0.529 4.553
Rb -0.457 4.166 2.102
B 0.702 4.777 6.675
Cl -3.435 5.439 4.256
Cl 5.232 0.691 -2.055
Cl 2.162 3.494 3.911
Cl -1.497 0.558 7.546
Cl -0.792 3.938 6.309
```

## Properties
**E_form (uncorrected)**: -1.400 eV per atom


No. 4
GaCu2Hg: optimized geometry, GGA-PBE.

```
4
Lattice="0.461 -2.101 3.906 -3.595 -0.939 2.464 -1.364 -4.223 0.434" Properties=species:S:1:pos:R:3 pbc="T T T"
Cu -1.125 -1.816 1.701
Cu -3.374 -5.448 5.103
Hg -2.249 -3.632 3.402
Ga 0.000 0.000 0.000
```


No. 5
CaLaTc2: optimized geometry, GGA-PBE.

```
8
Lattice="7.845 0.000 0.000 0.000 7.845 0.000 3.922 3.922 2.915" Properties=species:S:1:pos:R:3 pbc="T T T"
Ca 3.922 3.922 0.000
Ca 3.922 7.845 1.457
Tc 5.940 1.961 0.729
Tc 1.905 5.884 0.729
Tc 5.884 5.827 2.186
Tc 9.806 9.862 2.186
La 0.000 0.000 0.000
La 7.845 3.922 1.457
```


No. 6
Li2FeNi: optimized geometry, GGA-PBE.

```
4
Lattice="-0.235 -1.463 2.086 -1.523 -1.599 -1.293 6.471 -4.308 -2.294" Properties=species:S:1:pos:R:3 pbc="T T T"
Fe 3.784 -4.635 -1.256
Li 6.327 -4.212 -2.242
Li 0.978 -2.767 -0.262
Ni 3.332 -2.218 -1.181
```


E, respectively: -6.014, -4.605, -3.630, -2.745, -5.921, -4.407 eV/atom.